The following is a GGA-PBE calculation of a geometry-optimized Er4IrPb structure, from Alexandria via LeMat-Bulk.

Lattice parameters (Å, degrees): 6.027 8.577 8.055 114.99 102.57 107.09
Fractional coordinates of all 12 atoms:
1 Er 0.052 0.209 0.858
2 Er 0.788 0.720 0.663
3 Er 0.307 0.649 0.858
4 Er 0.375 0.943 0.663
5 Er 0.625 0.057 0.337
6 Er 0.693 0.351 0.142
7 Er 0.212 0.280 0.337
8 Er 0.948 0.791 0.142
9 Ir 0.250 0.000 0.001
10 Ir 0.750 0.000 0.999
11 Pb 0.379 0.629 0.258
12 Pb 0.621 0.371 0.742

**Total energy**: -0.210 hartree per atom
**Volume**: 331.5 Å³/cell

***

The following is a GGA-PBE calculation of a geometry-optimized Er2IrPb structure, from Alexandria via LeMat-Bulk.

Lattice parameters (Å, degrees): 3.857 3.857 8.713 77.21 77.21 60.00
Fractional coordinates of all 4 atoms:
1 Pb 0.500 0.500 0.500
2 Ir 0.000 0.000 0.000
3 Er 0.270 0.270 0.189
4 Er 0.730 0.730 0.811

**Total energy**: -0.220 hartree per atom
**Volume**: 108.5 Å³/cell

***

The following is a GGA-PBE calculation of a geometry-optimized Er5IrPb4 structure, from Alexandria via LeMat-Bulk.

Lattice parameters (Å, degrees): 6.146 7.494 7.494 80.32 65.79 65.79
Fractional coordinates of all 10 atoms:
1 Er 0.910 0.360 0.855
2 Er 0.270 0.855 0.640
3 Er 0.765 0.145 0.360
4 Er 0.125 0.640 0.145
5 Er 0.423 0.000 0.000
6 Ir 0.940 0.000 0.000
7 Pb 0.448 0.393 0.749
8 Pb 0.841 0.749 0.607
9 Pb 0.197 0.251 0.393
10 Pb 0.590 0.607 0.251

**Total energy**: -0.185 hartree per atom
**Volume**: 287.1 Å³/cell

***

- Which formula does entry 2 have?
  Er2IrPb